No. 1
4
Lattice="4.249 0.000 0.000 2.125 3.680 0.000 2.125 1.227 6.717" Properties=species:S:1:pos:R:3 comment="SrTe2Rh | the Alexandria database | GGA-PBEsol | optimized geometry" e_above_lowest_polymorph_mev_per_atom=34 dos_ef_per_ev_fu=2.81 raw_formation_energy_mev_per_atom=-740 pbc="T T T"
Sr 4.249 2.453 3.359
Te 2.125 1.227 1.215
Te 6.374 3.680 5.502
Rh 0.000 0.000 0.000

***

No. 2
5
Lattice="4.014 0.000 0.000 0.000 4.014 0.000 0.000 0.000 5.870" Properties=species:S:1:pos:R:3 comment="SnWIO2 | the Alexandria database | GGA-PBEsol | optimized geometry" dos_ef_per_ev_fu=4.16 raw_formation_energy_mev_per_atom=-426 pbc="T T T"
I 0.000 0.000 2.935
O 0.000 2.007 0.000
O 2.007 0.000 0.000
Sn 2.007 2.007 2.935
W 0.000 0.000 0.000

***

No. 3
42
Lattice="-3.272 -6.280 -4.931 8.092 -4.083 -0.147 -5.950 -2.019 6.554" Properties=species:S:1:pos:R:3 comment="Ba6ZnCo5Si6O24 | the Alexandria database | GGA-PBEsol | optimized geometry" raw_formation_energy_mev_per_atom=-2311 pbc="T T T"
Ba 0.894 -8.352 -1.766
Ba -2.192 -4.515 2.971
Ba -3.821 -7.605 0.478
Ba 2.513 -5.164 0.720
Ba -0.299 -10.740 2.750
Ba -0.780 -1.519 -1.174
Zn -0.741 -4.917 -0.286
Co -6.502 -9.325 1.670
Co 2.474 -8.307 1.980
Co -1.782 -10.175 -0.361
Co 3.956 -5.740 -2.319
Co -5.000 -6.795 -2.627
Si -3.785 -4.288 -0.558
Si 0.592 -2.488 1.783
Si -5.076 -6.912 3.602
Si 3.842 -5.791 3.834
Si -0.509 -7.601 1.511
Si 5.132 -3.166 -0.342
O -2.237 -3.814 -0.842
O -2.156 -7.357 -3.813
O -5.691 -5.389 3.657
O -0.291 -11.306 0.075
O -0.406 -7.758 3.145
O 3.169 -9.719 -4.316
O -4.079 -4.645 1.018
O 1.699 -3.169 2.790
O -3.461 -6.925 3.292
O 4.530 -4.751 2.763
O -1.258 -6.211 1.063
O 3.865 -2.527 0.487
O 3.285 -7.199 -1.243
O -0.826 -2.202 2.571
O 0.529 -5.670 -1.548
O -3.125 -2.669 4.698
O 1.001 -7.707 0.867
O -0.381 -4.212 4.960
O 0.376 -3.528 0.534
O -5.807 -7.635 2.316
O 2.743 -6.669 2.982
O -1.462 -8.842 1.008
O 4.657 -4.644 -0.882
O -3.988 -5.674 -1.417

***

No. 4
4
Lattice="-4.441 3.788 -0.473 -2.732 0.683 -5.135 -5.470 -1.973 -0.692" Properties=species:S:1:pos:R:3 comment="K2TiTl | the Alexandria database | GGA-PBEsol | optimized geometry" dos_ef_per_ev_fu=10.58 final_energy_ev_per_atom=-2.4074 pbc="T T T"
Tl -6.321 1.249 -3.150
K -3.161 0.624 -1.575
K -9.482 1.873 -4.725
Ti 0.000 0.000 0.000

***

No. 5
4
Lattice="2.477 0.000 0.000 0.000 2.477 0.000 0.000 0.000 6.199" Properties=species:S:1:pos:R:3 comment="BeCoNi2 | the Alexandria database | GGA-PBEsol | optimized geometry" dos_ef_per_ev_fu=3.49 final_energy_ev_per_atom=-6.2199 pbc="T T T"
Ni 0.000 0.000 4.823
Ni 0.000 0.000 1.376
Co 1.239 1.239 3.100
Be 1.239 1.239 0.000

***

No. 6
8
Lattice="6.749 0.000 0.000 3.374 6.274 0.000 3.374 0.000 6.274" Properties=species:S:1:pos:R:3 comment="RbTlSb2 | the Alexandria database | GGA-PBEsol | optimized geometry" dos_ef_per_ev_fu=0.53 raw_formation_energy_mev_per_atom=-6 pbc="T T T"
Sb 2.531 0.317 3.454
Sb 9.280 5.957 2.820
Sb 7.592 3.454 5.957
Sb 7.592 2.820 0.317
Tl 8.436 3.137 3.137
Tl 0.000 0.000 0.000
Rb 5.062 3.137 3.137
Rb 3.374 0.000 0.000

***

No. 7
5
Lattice="4.085 0.000 0.000 0.000 4.085 0.000 0.000 0.000 4.881" Properties=species:S:1:pos:R:3 comment="ScAsN2Cl | the Alexandria database | GGA-PBEsol | optimized geometry" dos_ef_per_ev_fu=3.39 raw_formation_energy_mev_per_atom=618 pbc="T T T"
Sc 0.000 0.000 0.000
As 2.043 2.043 2.441
N 0.000 2.043 0.000
N 2.043 0.000 0.000
Cl 0.000 0.000 2.441

***

No. 8
5
Lattice="-3.342 -2.509 -1.025 2.403 -1.769 -3.505 1.622 -3.295 2.775" Properties=species:S:1:pos:R:3 comment="Hf2ZnRuCl | the Alexandria database | GGA-PBEsol | optimized geometry" dos_ef_per_ev_fu=4.19 raw_formation_energy_mev_per_atom=304 pbc="T T T"
Ru -1.671 -1.255 -0.513
Zn 0.341 -3.786 -0.878
Hf 0.811 -1.648 1.387
Hf 1.201 -0.884 -1.753
Cl 0.000 0.000 0.000

***

No. 9
4
Lattice="3.254 0.000 0.000 1.627 2.818 0.000 1.627 0.939 9.739" Properties=species:S:1:pos:R:3 comment="MgCd2In | the Alexandria database | GGA-PBEsol | optimized geometry" dos_ef_per_ev_fu=1.66 final_energy_ev_per_atom=-1.8005 pbc="T T T"
Mg 0.000 0.000 0.000
In 3.254 1.878 4.869
Cd 1.627 0.939 2.347
Cd 4.880 2.818 7.391

***

No. 10
6
Lattice="5.532 0.000 0.000 2.766 4.791 0.000 2.766 1.597 4.517" Properties=species:S:1:pos:R:3 comment="KMnAg4 | the Alexandria database | GGA-PBEsol | optimized geometry" dos_ef_per_ev_fu=3.13 final_energy_ev_per_atom=-3.6410 pbc="T T T"
Ag 4.142 2.392 1.691
Ag 5.532 3.194 3.961
Ag 6.922 2.392 1.691
Ag 5.532 4.799 1.691
K 8.299 4.791 3.388
Mn 0.000 0.000 0.000

***

No. 11
4
Lattice="3.973 0.000 0.000 0.000 3.973 0.000 0.000 0.000 4.229" Properties=species:S:1:pos:R:3 comment="TlNiAu2 | the Alexandria database | GGA-PBEsol | optimized geometry" dos_ef_per_ev_fu=2.79 final_energy_ev_per_atom=-4.0021 pbc="T T T"
Au 0.000 1.986 0.000
Au 1.986 0.000 0.000
Ni 1.986 1.986 2.114
Tl 0.000 0.000 2.114

***

No. 12
3
Lattice="-1.744 -2.129 -1.165 1.600 0.700 -3.674 1.703 -2.747 2.471" Properties=species:S:1:pos:R:3 comment="AlSiOs | the Alexandria database | GGA-PBEsol | optimized geometry" dos_ef_per_ev_fu=1.16 raw_formation_energy_mev_per_atom=-182 pbc="T T T"
Si 1.635 -0.449 -1.626
Os 1.669 -1.598 0.422
Al -0.872 -1.065 -0.582

***

No. 13
4
Lattice="2.997 0.000 0.000 1.499 2.596 0.000 1.499 0.865 8.699" Properties=species:S:1:pos:R:3 comment="YMn2Cu | the Alexandria database | GGA-PBEsol | optimized geometry" e_above_lowest_polymorph_mev_per_atom=294 dos_ef_per_ev_fu=4.23 pbc="T T T"
Cu 0.000 0.000 0.000
Mn 1.499 0.865 1.859
Mn 4.496 2.596 6.840
Y 2.997 1.731 4.350

***

No. 14
4
Lattice="-2.955 3.470 -0.257 -4.439 -0.827 -0.674 -2.991 0.706 3.376" Properties=species:S:1:pos:R:3 comment="LiZrGa2 | the Alexandria database | GGA-PBEsol | optimized geometry" dos_ef_per_ev_fu=1.95 final_energy_ev_per_atom=-4.7705 pbc="T T T"
Ga -2.596 0.837 0.611
Ga -7.789 2.512 1.834
Zr -5.193 1.675 1.222
Li 0.000 0.000 0.000

***

No. 15
4
Lattice="3.899 0.000 0.000 0.000 4.038 0.000 0.000 -2.019 4.885" Properties=species:S:1:pos:R:3 comment="Zn2NiTe | the Alexandria database | GGA-PBEsol | optimized geometry" e_above_lowest_polymorph_mev_per_atom=0 dos_ef_per_ev_fu=1.61 raw_formation_energy_mev_per_atom=-1 pbc="T T T"
Ni 0.000 0.000 0.913
Te 1.949 2.019 4.317
Zn 0.000 2.019 2.098
Zn 1.949 0.000 2.439

***

No. 16
8
Lattice="4.221 0.000 0.000 0.000 4.218 0.000 0.000 2.109 8.308" Properties=species:S:1:pos:R:3 comment="CeCuGe2 | the Alexandria database | GGA-PBEsol | optimized geometry" dos_ef_per_ev_fu=5.56 final_energy_ev_per_atom=-5.7572 pbc="T T T"
Ge 1.055 4.218 7.673
Ge 3.166 2.109 0.634
Ge 1.055 2.109 4.164
Ge 3.166 4.218 4.144
Cu 3.166 2.109 2.955
Cu 1.055 4.218 5.353
Ce 3.166 2.109 6.558
Ce 1.055 4.218 1.750

***

No. 17
4
Lattice="3.070 0.000 0.000 0.000 3.070 0.000 0.000 0.000 10.451" Properties=species:S:1:pos:R:3 comment="TaTl2Pb | the Alexandria database | GGA-PBEsol | optimized geometry" e_above_lowest_polymorph_mev_per_atom=0 dos_ef_per_ev_fu=1.83 pbc="T T T"
Pb 0.000 0.000 5.634
Ta 1.535 1.535 7.941
Tl 0.000 0.000 10.158
Tl 1.535 1.535 2.395

***

No. 18
8
Lattice="3.219 0.000 0.000 -1.609 2.788 0.000 0.000 0.000 14.352" Properties=species:S:1:pos:R:3 comment="Zr2AlN | the Alexandria database | GGA-PBEsol | optimized geometry" dos_ef_per_ev_fu=1.55 raw_formation_energy_mev_per_atom=-1218 pbc="T T T"
Al 1.609 0.929 3.588
Al 0.000 1.858 10.764
Zr 1.609 0.929 13.086
Zr 0.000 1.858 5.910
Zr 0.000 1.858 1.266
Zr 1.609 0.929 8.442
N 0.000 0.000 0.000
N 0.000 0.000 7.176

***

No. 19
8
Lattice="-2.335 -4.886 -0.622 5.999 -3.072 1.603 -4.548 1.538 4.995" Properties=species:S:1:pos:R:3 comment="Tb3Mg | the Alexandria database | GGA-PBEsol | optimized geometry" dos_ef_per_ev_fu=5.82 final_energy_ev_per_atom=-4.1728 pbc="T T T"
Mg -1.616 -1.220 3.709
Mg 0.732 -5.200 2.267
Tb 0.686 -2.007 1.243
Tb 1.395 -2.756 4.467
Tb 3.617 -3.507 2.026
Tb -4.501 -2.912 3.950
Tb -2.279 -3.664 1.510
Tb -1.570 -4.413 4.734

***

No. 20
4
Lattice="2.916 0.000 0.000 0.000 2.916 0.000 0.000 0.000 6.981" Properties=species:S:1:pos:R:3 comment="ZrAl2Co | the Alexandria database | GGA-PBEsol | optimized geometry" dos_ef_per_ev_fu=2.90 final_energy_ev_per_atom=-6.7572 pbc="T T T"
Co 1.458 1.458 0.000
Al 0.000 0.000 5.615
Al 0.000 0.000 1.366
Zr 1.458 1.458 3.491